Record 1
Sc4Ag3Ru after structural relaxation, computed with PBE.

a b c (Å): 3.319 3.319 13.998
angles (deg): 90.00 90.00 90.00
Fractional positions:
Ru (0.500, 0.500, 0.000)
Sc (0.000, 0.000, 0.891)
Sc (0.000, 0.000, 0.629)
Sc (0.000, 0.000, 0.371)
Sc (0.000, 0.000, 0.109)
Ag (0.500, 0.500, 0.757)
Ag (0.500, 0.500, 0.500)
Ag (0.500, 0.500, 0.243)



Record 2
Sc5Ag4Ru after structural relaxation, computed with PBE.

a b c (Å): 3.344 3.344 17.386
angles (deg): 90.00 90.00 90.00
Fractional positions:
Sc (0.500, 0.500, 0.087)
Sc (0.500, 0.500, 0.705)
Sc (0.500, 0.500, 0.913)
Sc (0.500, 0.500, 0.500)
Sc (0.500, 0.500, 0.295)
Ag (0.000, 0.000, 0.193)
Ag (0.000, 0.000, 0.601)
Ag (0.000, 0.000, 0.807)
Ag (0.000, 0.000, 0.399)
Ru (0.000, 0.000, 0.000)



Record 3
ScAgRu after structural relaxation, computed with PBE.

a b c (Å): 6.932 6.740 2.923
angles (deg): 81.35 74.01 24.64
Fractional positions:
Ag (0.996, 0.996, 0.004)
Ru (0.323, 0.323, 0.677)
Sc (0.681, 0.681, 0.319)



Record 4
ScAg2Ru after structural relaxation, computed with PBE.

a b c (Å): 4.614 4.614 4.614
angles (deg): 60.00 60.00 60.00
Fractional positions:
Sc (0.750, 0.750, 0.750)
Ru (0.500, 0.500, 0.500)
Ag (0.250, 0.250, 0.250)
Ag (0.000, 0.000, 0.000)



Record 5
ScAg2Ru after structural relaxation, computed with PBE.

a b c (Å): 5.522 5.522 4.288
angles (deg): 67.35 67.35 35.45
Fractional positions:
Ru (0.250, 0.250, 0.250)
Ag (0.991, 0.991, 0.009)
Ag (0.509, 0.509, 0.491)
Sc (0.750, 0.750, 0.750)



Record 6
ScAg2Ru after structural relaxation, computed with PBE.

a b c (Å): 3.043 4.209 5.452
angles (deg): 90.00 90.00 90.00
Fractional positions:
Sc (0.500, 0.500, 0.750)
Ru (0.500, 0.500, 0.250)
Ag (0.000, 0.000, 0.006)
Ag (0.000, 0.000, 0.494)



Record 7
Sc8AgRu2 after structural relaxation, computed with PBE.

a b c (Å): 4.867 6.454 8.346
angles (deg): 112.75 106.95 90.01
Fractional positions:
Ag (0.136, 0.970, 0.909)
Sc (0.137, 0.550, 0.909)
Sc (0.974, 0.019, 0.583)
Sc (0.637, 0.267, 0.909)
Sc (0.345, 0.857, 0.327)
Sc (0.749, 0.939, 0.134)
Sc (0.299, 0.345, 0.235)
Sc (0.524, 0.714, 0.684)
Sc (0.927, 0.438, 0.491)
Ru (0.807, 0.621, 0.250)
Ru (0.466, 0.280, 0.568)



Record 8
ThScAgRu after structural relaxation, computed with PBE.

a b c (Å): 4.958 4.958 4.958
angles (deg): 60.00 60.00 60.00
Fractional positions:
Th (0.500, 0.500, 0.500)
Ag (0.250, 0.250, 0.250)
Ru (0.750, 0.750, 0.750)
Sc (0.000, 0.000, 0.000)



Values of calculated formation energy, in order: -0.380; -0.358; 0.031; 0.035; -0.050; 0.104; -0.310; -0.252, all in eV per atom.
Values of volume, in order: 19.28; 19.44; 17.66; 17.37; 17.34; 17.46; 20.85; 21.55, all in A^3/atom.
Values of DOS(E_F), in order: 6.60; 7.55; 3.01; 3.78; 3.27; 3.60; 12.08; 4.32, all in states/eV per cell.